Entry 1:
Ac2P4Pd3 PBE optimized geometry; energy of formation = -804 meV/atom; N(E_F) = 0.66 states/eV per atom; space-group type = Cmce; size of the total moment = 0.00 μB/f.u.
1.0
2.890 -8.127 0.000
2.890 8.127 0.000
0.000 0.000 7.484
Ac P Pd
4 8 6
Direct
0.114 0.886 0.914
0.386 0.614 0.414
0.614 0.386 0.586
0.886 0.114 0.086
0.198 0.802 0.536
0.199 0.301 0.750
0.301 0.199 0.250
0.302 0.698 0.036
0.698 0.302 0.964
0.699 0.801 0.750
0.801 0.699 0.250
0.802 0.198 0.464
0.000 0.000 0.500
0.040 0.460 0.750
0.460 0.040 0.250
0.500 0.500 0.000
0.540 0.960 0.750
0.960 0.540 0.250



Entry 2:
Ta2AlAg PBE optimized geometry; energy of formation = 42 meV/atom; N(E_F) = 0.71 states/eV per atom; space-group type = I4/mmm; size of the total moment = 0.00 μB/f.u.
1.0
-1.976 1.976 4.414
1.976 -1.976 4.414
1.976 1.976 -4.414
Ta Al Ag
2 1 1
Direct
0.250 0.750 0.500
0.750 0.250 0.500
0.000 0.000 0.000
0.500 0.500 0.000